[1]
Material: LiCaPr
Method: DFT, PBE-GGA
State: optimized geometry

Fermi-level density of states, states/eV per cell: 4.86
Electronic total energy, eV/atom: -2.797
Energy relative to the elements, eV per atom: 0.1011
Energy relative to the lowest polymorph listed for this composition, eV/atom: 0.0765

abc: 3.714 3.714 7.538
angles: 104.26 104.26 90.00
Fractional coordinates of all 3 atoms:
Pr: 0.317 0.317 0.633
Ca: 0.017 0.017 0.033
Li: 0.667 0.667 0.333

---

[2]
Material: Cs2TmSb2Te6
Method: DFT, PBE-GGA
State: optimized geometry

Fermi-level density of states, states/eV per cell: 6.20
ΔE_f (raw), eV/atom: -0.691
Electronic total energy, eV/atom: -3.716

abc: 7.618 7.618 9.626
angles: 97.75 97.75 119.88
Fractional coordinates of all 11 atoms:
Cs: 0.833 0.167 0.000
Cs: 0.167 0.833 0.000
Tm: 0.000 0.000 0.500
Sb: 0.331 0.669 0.500
Sb: 0.669 0.331 0.500
Te: 0.730 0.730 0.684
Te: 0.065 0.395 0.686
Te: 0.270 0.270 0.316
Te: 0.395 0.065 0.686
Te: 0.935 0.605 0.314
Te: 0.605 0.935 0.314

---

[3]
Material: Sc3RhSe
Method: DFT, PBE-GGA
State: optimized geometry

Fermi-level density of states, states/eV per cell: 6.36
ΔE_f (raw), eV/atom: -0.428
Electronic total energy, eV/atom: -6.394
Energy relative to the lowest polymorph listed for this composition, eV/atom: 0.0000

abc: 4.995 4.995 4.995
angles: 90.00 90.00 90.00
Fractional coordinates of all 5 atoms:
Sc: 0.000 0.500 0.000
Sc: 0.000 0.000 0.500
Sc: 0.500 0.000 0.000
Rh: 0.000 0.000 0.000
Se: 0.500 0.500 0.500

---

[4]
Material: RuRh2W
Method: DFT, PBE-GGA
State: optimized geometry

Fermi-level density of states, states/eV per cell: 3.68
Electronic total energy, eV/atom: -9.382
Energy relative to the elements, eV per atom: -0.1494
Energy relative to the lowest polymorph listed for this composition, eV/atom: 0.0339

abc: 4.373 2.760 4.801
angles: 90.00 90.00 90.00
Fractional coordinates of all 4 atoms:
Ru: 0.000 0.625 0.458
Rh: 0.000 0.125 0.963
Rh: 0.500 0.125 0.296
W: 0.500 0.625 0.784

---

Which value of electronic total energy does entry 4 give? -9.382 eV/atom